(1)
La2NbAgO6: optimized geometry, PBE.

Cell lengths 5.457, 5.461, 5.461 Å; angles 90.00, 90.00, 90.00 degrees
Atoms (fractional coordinates):
La  0.002  0.500  0.000
La  0.002  0.000  0.500
Nb  0.602  0.000  0.000
Ag  0.500  0.500  0.500
O  0.745  0.233  0.233
O  0.745  0.233  0.767
O  0.113  0.500  0.500
O  0.248  0.000  0.000
O  0.745  0.767  0.767
O  0.745  0.767  0.233

Values from the calculation:
Fermi-level density of states in states/eV/f.u.: 0.00
Electronic total energy in eV per atom: -7.781
Space-group type: No. 99
Size of the total moment in μB per cell: 0.0



(2)
RbLa2NbAg: optimized geometry, PBE.

Cell lengths 5.526, 5.813, 5.526 Å; angles 90.00, 90.00, 90.00 degrees
Atoms (fractional coordinates):
Nb  0.000  0.000  0.000
Rb  0.500  0.500  0.500
Ag  0.000  0.500  0.000
La  0.000  0.000  0.500
La  0.500  0.000  0.000

Values from the calculation:
Fermi-level density of states in states/eV/f.u.: 5.30
Calculated formation energy in eV/atom: 0.527
Space-group type: No. 123
Size of the total moment in μB per cell: 0.0



(3)
LaNbAg2Sb: optimized geometry, PBE.

Cell lengths 5.140, 5.340, 5.140 Å; angles 90.00, 90.00, 90.00 degrees
Last column: magnetic moment on the atom in μB.
Atoms (fractional coordinates):
Sb  0.000  0.000  0.000  -0.01
Nb  0.000  0.500  0.000  1.13
Ag  0.000  0.000  0.500  0.02
Ag  0.500  0.000  0.000  0.01
La  0.500  0.500  0.500  0.14

Values from the calculation:
Fermi-level density of states in states/eV/f.u.: 4.53
Electronic total energy in eV per atom: -4.445
Space-group type: No. 123
Size of the total moment in μB per cell: 1.7



(4)
LaTaNb2Ag: optimized geometry, PBE.

Cell lengths 4.928, 5.322, 4.928 Å; angles 90.00, 90.00, 90.00 degrees
Atoms (fractional coordinates):
Nb  0.000  0.000  0.500
Nb  0.500  0.000  0.000
La  0.500  0.500  0.500
Ag  0.000  0.500  0.000
Ta  0.000  0.000  0.000

Values from the calculation:
Fermi-level density of states in states/eV/f.u.: 6.56
Calculated formation energy in eV/atom: 0.865
Space-group type: No. 123
Size of the total moment in μB per cell: 0.0



(5)
LaNb2AgTe: optimized geometry, PBE.

Cell lengths 5.050, 5.483, 5.050 Å; angles 90.00, 90.00, 90.00 degrees
Last column: magnetic moment on the atom in μB.
Atoms (fractional coordinates):
Nb  0.000  0.000  0.500  0.54
Nb  0.500  0.000  0.000  0.66
Te  0.000  0.500  0.000  0.00
Ag  0.000  0.000  0.000  0.04
La  0.500  0.500  0.500  0.06

Values from the calculation:
Fermi-level density of states in states/eV/f.u.: 7.37
Electronic total energy in eV per atom: -5.175
Space-group type: No. 123
Size of the total moment in μB per cell: 1.8



(6)
LaNbVAg2: optimized geometry, PBE.

Cell lengths 5.229, 5.221, 5.229 Å; angles 90.00, 90.00, 90.00 degrees
Last column: magnetic moment on the atom in μB.
Atoms (fractional coordinates):
Nb  0.000  0.000  0.000  0.27
V  0.500  0.500  0.500  -3.03
Ag  0.000  0.000  0.500  0.02
Ag  0.500  0.000  0.000  0.03
La  0.000  0.500  0.000  -0.02

Values from the calculation:
Fermi-level density of states in states/eV/f.u.: 9.41
Calculated formation energy in eV/atom: 1.334
Space-group type: No. 123
Size of the total moment in μB per cell: 3.5



(7)
LaNbV2Ag: optimized geometry, PBE.

Cell lengths 4.551, 4.896, 4.551 Å; angles 90.00, 90.00, 90.00 degrees
Atoms (fractional coordinates):
Nb  0.000  0.500  0.000
V  0.000  0.000  0.500
V  0.500  0.000  0.000
Ag  0.500  0.500  0.500
La  0.000  0.000  0.000

Values from the calculation:
Fermi-level density of states in states/eV/f.u.: 3.14
Calculated formation energy in eV/atom: 1.652
Space-group type: No. 123
Size of the total moment in μB per cell: 0.0



(8)
LaNbAgW2: optimized geometry, PBE.

Cell lengths 4.810, 5.314, 4.810 Å; angles 90.00, 90.00, 90.00 degrees
Atoms (fractional coordinates):
Nb  0.000  0.000  0.000
Ag  0.000  0.500  0.000
W  0.000  0.000  0.500
W  0.500  0.000  0.000
La  0.500  0.500  0.500

Values from the calculation:
Fermi-level density of states in states/eV/f.u.: 4.99
Calculated formation energy in eV/atom: 1.258
Space-group type: No. 123
Size of the total moment in μB per cell: 0.0



(9)
La2ZrNbAg: optimized geometry, PBE.

Cell lengths 5.569, 5.153, 5.569 Å; angles 90.00, 90.00, 90.00 degrees
Atoms (fractional coordinates):
Nb  0.000  0.000  0.000
Zr  0.000  0.500  0.000
Ag  0.500  0.500  0.500
La  0.000  0.000  0.500
La  0.500  0.000  0.000

Values from the calculation:
Fermi-level density of states in states/eV/f.u.: 6.47
Calculated formation energy in eV/atom: 0.581
Space-group type: No. 123
Size of the total moment in μB per cell: 0.0



(10)
LaNd2Ag: optimized geometry, PBE.

Cell lengths 3.686, 5.700, 5.700 Å; angles 90.00, 90.00, 90.00 degrees
Atoms (fractional coordinates):
Nd  0.000  0.000  0.500
Nd  0.000  0.500  0.000
Ag  0.500  0.000  0.000
La  0.500  0.500  0.500

Values from the calculation:
ΔE to the lowest computed polymorph in meV per atom: 107
Fermi-level density of states in states/eV/f.u.: 5.31
Calculated formation energy in eV/atom: -0.003
Space-group type: No. 123
Size of the total moment in μB per cell: 0.0



(11)
La3Nd4Ag4: optimized geometry, PBE.

Cell lengths 5.203, 7.758, 9.502 Å; angles 114.09, 105.89, 90.00 degrees
Atoms (fractional coordinates):
La  0.102  0.102  0.204
La  0.898  0.898  0.796
La  0.000  0.500  0.000
Nd  0.325  0.101  0.651
Nd  0.675  0.450  0.349
Nd  0.675  0.899  0.349
Nd  0.325  0.550  0.651
Ag  0.194  0.694  0.388
Ag  0.806  0.306  0.612
Ag  0.500  0.815  0.000
Ag  0.500  0.185  0.000

Values from the calculation:
Fermi-level density of states in states/eV/f.u.: 10.69
Calculated formation energy in eV/atom: -0.107
Space-group type: No. 71
Size of the total moment in μB per cell: 0.0



(12)
La2NdAg4: optimized geometry, PBE.

Cell lengths 5.678, 5.678, 7.340 Å; angles 112.75, 112.75, 90.00 degrees
Atoms (fractional coordinates):
Nd  0.000  0.000  0.000
Ag  0.381  0.881  0.761
Ag  0.881  0.381  0.761
Ag  0.619  0.119  0.239
Ag  0.119  0.619  0.239
La  0.714  0.714  0.429
La  0.286  0.286  0.571

Values from the calculation:
Fermi-level density of states in states/eV/f.u.: 6.11
Calculated formation energy in eV/atom: -0.103
Space-group type: No. 139
Size of the total moment in μB per cell: 0.0



(13)
LaNd3Ag3: optimized geometry, PBE.

Cell lengths 7.539, 7.539, 7.360 Å; angles 98.42, 98.42, 89.63 degrees
Atoms (fractional coordinates):
La  0.740  0.740  0.003
La  0.260  0.260  0.997
Nd  0.662  0.662  0.449
Nd  0.181  0.819  0.500
Nd  0.819  0.181  0.500
Nd  0.275  0.725  0.000
Nd  0.725  0.275  0.000
Nd  0.338  0.338  0.551
Ag  0.049  0.049  0.202
Ag  0.987  0.528  0.717
Ag  0.528  0.987  0.717
Ag  0.013  0.472  0.283
Ag  0.472  0.013  0.283
Ag  0.951  0.951  0.798

Values from the calculation:
Fermi-level density of states in states/eV/f.u.: 8.06
Calculated formation energy in eV/atom: -0.125
Space-group type: No. 12
Size of the total moment in μB per cell: 0.0



(14)
LaNd4Ag: optimized geometry, PBE.

Cell lengths 3.721, 3.721, 14.241 Å; angles 90.00, 90.00, 90.00 degrees
Atoms (fractional coordinates):
La  0.000  0.000  0.000
Nd  0.500  0.500  0.183
Nd  0.000  0.000  0.634
Nd  0.000  0.000  0.366
Nd  0.500  0.500  0.817
Ag  0.500  0.500  0.500

Values from the calculation:
ΔE to the lowest computed polymorph in meV per atom: 0
Fermi-level density of states in states/eV/f.u.: 10.53
Calculated formation energy in eV/atom: -0.065
Space-group type: No. 123
Size of the total moment in μB per cell: 0.0



(15)
La5NdAg3: optimized geometry, PBE.

Cell lengths 7.271, 9.295, 9.296 Å; angles 120.00, 90.00, 90.00 degrees
Atoms (fractional coordinates):
La  0.000  0.667  0.333
La  0.500  0.333  0.667
La  0.000  0.333  0.667
La  0.500  0.667  0.333
La  0.750  0.667  0.667
La  0.750  0.000  0.333
La  0.750  0.333  0.000
La  0.250  0.333  0.333
La  0.250  0.000  0.667
La  0.250  0.667  0.000
Nd  0.000  0.000  0.000
Nd  0.500  0.000  0.000
Ag  0.750  0.331  0.331
Ag  0.750  0.000  0.669
Ag  0.750  0.669  0.000
Ag  0.250  0.669  0.669
Ag  0.250  0.000  0.331
Ag  0.250  0.331  0.000

Values from the calculation:
Fermi-level density of states in states/eV/f.u.: 10.58
Calculated formation energy in eV/atom: -0.095
Space-group type: No. 193
Size of the total moment in μB per cell: 0.0



(16)
LaNd2Ag: optimized geometry, PBE.

Cell lengths 6.663, 7.144, 10.783 Å; angles 90.00, 90.00, 90.00 degrees
Atoms (fractional coordinates):
La  0.630  0.510  0.250
La  0.870  0.010  0.250
La  0.370  0.490  0.750
La  0.130  0.990  0.750
Nd  0.163  0.692  0.042
Nd  0.337  0.192  0.458
Nd  0.837  0.308  0.542
Nd  0.663  0.808  0.958
Nd  0.837  0.308  0.958
Nd  0.663  0.808  0.542
Nd  0.163  0.692  0.458
Nd  0.337  0.192  0.042
Ag  0.095  0.397  0.250
Ag  0.405  0.897  0.250
Ag  0.905  0.603  0.750
Ag  0.595  0.103  0.750

Values from the calculation:
ΔE to the lowest computed polymorph in meV per atom: 18
Fermi-level density of states in states/eV/f.u.: 4.26
Calculated formation energy in eV/atom: -0.093
Space-group type: No. 62
Size of the total moment in μB per cell: 0.0



(17)
La3Nd3Ag2: optimized geometry, PBE.

Cell lengths 5.248, 6.569, 16.240 Å; angles 90.00, 90.00, 113.54 degrees
Atoms (fractional coordinates):
La  0.956  0.912  0.389
La  0.044  0.088  0.889
La  0.956  0.912  0.111
La  0.044  0.088  0.611
La  0.690  0.379  0.250
La  0.310  0.621  0.750
Nd  0.642  0.283  0.471
Nd  0.358  0.717  0.971
Nd  0.642  0.283  0.029
Nd  0.358  0.717  0.529
Nd  0.416  0.832  0.250
Nd  0.584  0.168  0.750
Ag  0.777  0.553  0.875
Ag  0.223  0.447  0.375
Ag  0.777  0.553  0.625
Ag  0.223  0.447  0.125

Values from the calculation:
Fermi-level density of states in states/eV/f.u.: 9.19
Calculated formation energy in eV/atom: -0.069
Space-group type: No. 63
Size of the total moment in μB per cell: 0.0



(18)
LaNd2Ag: optimized geometry, PBE.

Cell lengths 3.499, 3.499, 12.127 Å; angles 81.71, 81.71, 60.00 degrees
Atoms (fractional coordinates):
Nd  0.097  0.097  0.708
Nd  0.903  0.903  0.292
Ag  0.500  0.500  0.500
La  0.000  0.000  0.000

Values from the calculation:
ΔE to the lowest computed polymorph in meV per atom: 257
Fermi-level density of states in states/eV/f.u.: 5.79
Calculated formation energy in eV/atom: 0.147
Space-group type: No. 166
Size of the total moment in μB per cell: 0.0



(19)
LaNd2Ag5: optimized geometry, PBE.

Cell lengths 5.212, 5.212, 8.246 Å; angles 108.42, 108.42, 90.00 degrees
Atoms (fractional coordinates):
La  0.000  0.000  0.000
Nd  0.730  0.730  0.461
Nd  0.270  0.270  0.539
Ag  0.500  0.500  0.000
Ag  0.880  0.380  0.760
Ag  0.380  0.880  0.760
Ag  0.120  0.620  0.240
Ag  0.620  0.120  0.240

Values from the calculation:
Fermi-level density of states in states/eV/f.u.: 6.06
Calculated formation energy in eV/atom: -0.198
Space-group type: No. 139
Size of the total moment in μB per cell: 0.0



(20)
La6Nd2Ag: optimized geometry, PBE.

Cell lengths 5.779, 10.259, 7.848 Å; angles 130.82, 111.66, 90.00 degrees
Atoms (fractional coordinates):
La  0.163  0.472  0.327
La  0.837  0.145  0.673
La  0.837  0.528  0.673
La  0.500  0.167  0.000
La  0.163  0.855  0.327
La  0.500  0.833  0.000
Nd  0.690  0.692  0.383
Nd  0.310  0.308  0.617
Ag  0.000  0.000  0.000

Values from the calculation:
ΔE to the lowest computed polymorph in meV per atom: 121
Fermi-level density of states in states/eV/f.u.: 12.74
Calculated formation energy in eV/atom: 0.082
Space-group type: No. 12
Size of the total moment in μB per cell: 0.0



(21)
La2Nd3Ag2: optimized geometry, PBE.

Cell lengths 3.885, 6.896, 9.616 Å; angles 114.81, 90.00, 106.36 degrees
Atoms (fractional coordinates):
La  0.851  0.702  0.185
La  0.149  0.298  0.815
Nd  0.500  0.000  0.000
Nd  0.613  0.227  0.448
Nd  0.387  0.773  0.552
Ag  0.831  0.662  0.771
Ag  0.169  0.338  0.229

Values from the calculation:
ΔE to the lowest computed polymorph in meV per atom: 0
Fermi-level density of states in states/eV/f.u.: 9.37
Calculated formation energy in eV/atom: -0.117
Space-group type: No. 12
Size of the total moment in μB per cell: 0.0



(22)
La5Nd2Ag: optimized geometry, PBE.

Cell lengths 3.833, 8.738, 16.347 Å; angles 90.00, 90.00, 90.00 degrees
Atoms (fractional coordinates):
La  0.000  0.000  0.000
La  0.000  0.500  0.500
La  0.000  0.500  0.728
La  0.000  0.500  0.272
La  0.000  0.000  0.228
La  0.000  0.000  0.772
La  0.500  0.288  0.885
La  0.500  0.712  0.115
La  0.500  0.212  0.385
La  0.500  0.788  0.615
Nd  0.500  0.211  0.613
Nd  0.500  0.789  0.387
Nd  0.500  0.289  0.113
Nd  0.500  0.711  0.887
Ag  0.000  0.000  0.500
Ag  0.000  0.500  0.000

Values from the calculation:
Fermi-level density of states in states/eV/f.u.: 12.35
Calculated formation energy in eV/atom: -0.046
Space-group type: No. 55
Size of the total moment in μB per cell: 0.0



(23)
La3NdAg7: optimized geometry, PBE.

Cell lengths 3.908, 10.751, 14.279 Å; angles 90.00, 90.00, 100.47 degrees
Atoms (fractional coordinates):
La  0.121  0.243  0.469
La  0.879  0.757  0.531
La  0.230  0.461  0.750
La  0.770  0.539  0.250
La  0.121  0.243  0.031
La  0.879  0.757  0.969
Nd  0.987  0.975  0.250
Nd  0.013  0.025  0.750
Ag  0.393  0.785  0.750
Ag  0.607  0.215  0.250
Ag  0.511  0.022  0.408
Ag  0.489  0.978  0.592
Ag  0.489  0.978  0.908
Ag  0.511  0.022  0.092
Ag  0.384  0.767  0.347
Ag  0.616  0.233  0.653
Ag  0.268  0.537  0.435
Ag  0.732  0.463  0.565
Ag  0.732  0.463  0.935
Ag  0.268  0.537  0.065
Ag  0.384  0.767  0.153
Ag  0.616  0.233  0.847

Values from the calculation:
Fermi-level density of states in states/eV/f.u.: 7.73
Calculated formation energy in eV/atom: -0.175
Space-group type: No. 63
Size of the total moment in μB per cell: 0.0